Record 1
Hf3ZnIr2 after structural relaxation. Source: the Alexandria database, functional PBE-GGA.

Results
Electronic total energy (eV/cell): -53.053
D(E_F) (states/eV/f.u.): 3.28
Symmetry: Cmmm, No. 65

Unit cell a=3.4468 b=4.5443 c=7.1700 alpha=108.48 beta=90.00 gamma=90.00
Atoms (fractional coordinates):
Zn: 0.0000 0.0000 0.0000
Hf: 0.5000 0.8305 0.6610
Hf: 0.5000 0.5000 0.0000
Hf: 0.5000 0.1695 0.3390
Ir: 0.0000 0.3359 0.6718
Ir: 0.0000 0.6641 0.3282


Record 2
Sm2SnH after structural relaxation. Source: the Alexandria database, functional PBE-GGA.

Results
Electronic total energy (eV/cell): -39.067
D(E_F) (states/eV/f.u.): 2.63
Symmetry: P4/nmm, No. 129
Offset from the most stable computed form (eV/f.u.): 0.00

Unit cell a=4.6042 b=4.6042 c=8.7367 alpha=90.01 beta=90.01 gamma=90.00
Atoms (fractional coordinates):
Sm: 0.7500 0.2500 0.5000
Sm: 0.7501 0.7501 0.8521
Sm: 0.2500 0.7500 0.5000
Sm: 0.2499 0.2499 0.1479
Sn: 0.2501 0.2501 0.7803
Sn: 0.7499 0.7499 0.2197
H: 0.7501 0.7501 0.5821
H: 0.2499 0.2499 0.4179


Record 3
YV3Au after structural relaxation. Source: the Alexandria database, functional PBE-GGA.

Results
Electronic total energy (eV/cell): -27.439
D(E_F) (states/eV/f.u.): 7.23
Symmetry: Pm-3m, No. 221
Offset from the most stable computed form (eV/f.u.): 4.31

Unit cell a=4.6818 b=4.6818 c=4.6818 alpha=90.00 beta=90.00 gamma=90.00
Atoms (fractional coordinates):
V: 0.5000 0.0000 0.0000
V: 0.0000 0.0000 0.5000
V: 0.0000 0.5000 0.0000
Au: 0.5000 0.5000 0.5000
Y: 0.0000 0.0000 0.0000


Record 4
Tb4As2P after structural relaxation. Source: the Alexandria database, functional PBE-GGA.

Results
Electronic total energy (eV/cell): -84.443
D(E_F) (states/eV/f.u.): 6.12
Symmetry: I-42d, No. 122

Unit cell a=7.5154 b=7.5154 c=7.5154 alpha=109.84 beta=108.73 gamma=109.84
Atoms (fractional coordinates):
P: 0.0000 0.0000 0.0000
P: 0.7500 0.5000 0.2500
As: 0.2549 0.6299 0.1250
As: 0.4951 0.3701 0.6250
As: 0.8750 0.1299 0.5049
As: 0.3750 0.8701 0.7451
Tb: 0.6285 0.7446 0.5072
Tb: 0.4928 0.1214 0.2374
Tb: 0.6340 0.7554 0.0126
Tb: 0.2572 0.2446 0.8785
Tb: 0.1160 0.8786 0.3715
Tb: 0.7626 0.2554 0.8840
Tb: 0.1215 0.3786 0.3660
Tb: 0.9874 0.6214 0.7428


Record 5
P2HSe after structural relaxation. Source: the Alexandria database, functional PBE-GGA.

Results
Electronic total energy (eV/cell): -69.818
D(E_F) (states/eV/f.u.): 0.00
Symmetry: P2_1/c, No. 14
Offset from the most stable computed form (eV/f.u.): 0.22

Unit cell a=4.2017 b=7.4575 c=11.7580 alpha=90.00 beta=92.59 gamma=90.00
Atoms (fractional coordinates):
P: 0.0172 0.7842 0.0030
P: 0.3311 0.4932 0.5705
P: 0.9828 0.2158 0.9970
P: 0.6689 0.5068 0.4295
P: 0.6689 0.9932 0.9295
P: 0.0172 0.7158 0.5030
P: 0.3311 0.0068 0.0705
P: 0.9828 0.2842 0.4970
H: 0.8398 0.0090 0.6270
H: 0.8398 0.4910 0.1270
H: 0.1602 0.9910 0.3730
H: 0.1602 0.5090 0.8730
Se: 0.7958 0.6807 0.1663
Se: 0.2042 0.1807 0.3337
Se: 0.2042 0.3193 0.8337
Se: 0.7958 0.8193 0.6663


Record 6
KTl2GeBr5 after structural relaxation. Source: the Alexandria database, functional PBE-GGA.

Results
Electronic total energy (eV/cell): -54.298
D(E_F) (states/eV/f.u.): 0.00
E_form (uncorrected) (eV/f.u.): -8.34
Symmetry: Cmc2_1, No. 36

Unit cell a=4.3575 b=9.6375 c=17.0145 alpha=90.00 beta=90.00 gamma=103.07
Atoms (fractional coordinates):
Br: 0.6097 0.2193 0.5145
Br: 0.9061 0.8123 0.5704
Br: 0.7564 0.5128 0.1524
Br: 0.4808 0.9617 0.7728
Br: 0.0939 0.1877 0.0704
Br: 0.2696 0.5392 0.4270
Br: 0.2436 0.4872 0.6524
Br: 0.7304 0.4608 0.9270
Br: 0.5192 0.0383 0.2728
Br: 0.3903 0.7807 0.0145
K: 0.5541 0.1082 0.9414
K: 0.4459 0.8918 0.4414
Tl: 0.9367 0.8734 0.1530
Tl: 0.8530 0.7060 0.7570
Tl: 0.0633 0.1266 0.6530
Tl: 0.1470 0.2940 0.2570
Ge: 0.7521 0.5043 0.5355
Ge: 0.2479 0.4957 0.0355


Record 7
SmLuGa after structural relaxation. Source: the Alexandria database, functional PBE-GGA.

Results
Electronic total energy (eV/cell): -13.094
D(E_F) (states/eV/f.u.): 1.96
Symmetry: P3m1, No. 156
Offset from the most stable computed form (eV/f.u.): 0.26

Unit cell a=3.6970 b=4.9644 c=4.9644 alpha=120.00 beta=90.00 gamma=90.00
Atoms (fractional coordinates):
Lu: 0.1105 0.0000 0.0000
Ga: 0.2523 0.3333 0.6667
Sm: 0.6372 0.6667 0.3333